ScPtW2 | PBE | relaxed

Unit cell a=2.8839 b=2.8839 c=28.5049 alpha=90.00 beta=90.00 gamma=120.00
Space group R-3m (No. 166, hexagonal axes)
One atom of each set of equivalent atoms:
Sc (0.0000, 0.0000, 0.0000) (multiplicity 3)
Pt (0.0000, 0.0000, 0.5000) (multiplicity 3)
W (0.0000, 0.0000, 0.2459) (multiplicity 6)

Calculated values
energy relative to the elements	19.8	kJ/mol of atoms